Entry from Alexandria via LeMat-Bulk: an optimized crystal structure of Li4Sm2Cl9 (PBE).

abc: 6.712 6.711 17.994
angles: 90.00 90.00 59.99
Element x y z (fractional)
Cl  0.632  0.347  0.583
Sm  0.000  0.000  0.845
Li  0.333  0.334  0.169
Cl  0.979  0.369  0.417
Li  0.667  0.667  0.514
Li  0.667  0.667  0.014
Cl  0.368  0.653  0.417
Cl  0.369  0.979  0.917
Cl  0.021  0.631  0.583
Cl  0.631  0.021  0.083
Cl  0.333  0.000  0.250
Li  0.334  0.333  0.669
Sm  0.000  0.000  0.155
Sm  0.000  0.000  0.345
Cl  0.021  0.347  0.083
Cl  0.333  0.667  0.750
Cl  0.667  0.333  0.250
Cl  0.979  0.653  0.917
Cl  0.667  0.000  0.750
Li  0.333  0.333  0.486
Cl  0.000  0.667  0.250
Cl  0.347  0.632  0.083
Cl  0.652  0.979  0.417
Li  0.666  0.667  0.331
Cl  0.653  0.368  0.917
Cl  0.348  0.021  0.583
Sm  0.000  0.000  0.655
Li  0.333  0.333  0.986
Li  0.667  0.666  0.831
Cl  0.000  0.333  0.750

Results
crystal system	trigonal
V	350.90	Å³/f.u.
space-group type	No. 165

---

Entry from Alexandria via LeMat-Bulk: an optimized crystal structure of LiSmCl4 (PBE).

abc: 6.343 7.635 7.641
angles: 118.39 90.00 90.00
Element x y z (fractional)
Li  0.000  0.000  0.000
Cl  0.218  0.318  0.162
Cl  0.270  0.345  0.673
Sm  0.000  0.500  0.500
Sm  0.500  0.000  0.500
Cl  0.282  0.818  0.162
Cl  0.230  0.845  0.673
Cl  0.782  0.682  0.838
Cl  0.730  0.655  0.327
Li  0.500  0.500  0.000
Cl  0.770  0.155  0.327
Cl  0.718  0.182  0.838

Results
energy above the lowest structure with this stoichiometry	18	meV/atom
crystal system	monoclinic
V	162.79	Å³/f.u.
space-group type	No. 14

---

Entry from Alexandria via LeMat-Bulk: an optimized crystal structure of LiSmCl (PBE).

abc: 3.906 3.906 13.557
angles: 73.32 73.32 59.99
Element x y z (fractional)
Li  0.569  0.569  0.116
Sm  0.023  0.023  0.934
Cl  0.445  0.445  0.799
Li  0.185  0.185  0.192
Cl  0.307  0.307  0.509
Sm  0.730  0.730  0.374

Results
crystal system	monoclinic
V	84.47	Å³/f.u.
space-group type	No. 12

---

Entry from Alexandria via LeMat-Bulk: an optimized crystal structure of LiSmTlCl5 (PBE).

abc: 7.575 7.575 10.158
angles: 103.73 103.73 107.32
Element x y z (fractional)
Cl  0.917  0.083  0.750
Sm  0.000  0.000  0.500
Tl  0.354  0.646  0.250
Cl  0.087  0.690  0.883
Sm  0.000  0.000  0.000
Cl  0.623  0.754  0.924
Tl  0.646  0.354  0.750
Cl  0.690  0.087  0.383
Cl  0.754  0.623  0.424
Cl  0.377  0.246  0.076
Cl  0.083  0.917  0.250
Cl  0.246  0.377  0.576
Li  0.690  0.310  0.250
Cl  0.310  0.913  0.617
Li  0.310  0.690  0.750
Cl  0.913  0.310  0.117

Results
crystal system	monoclinic
V	254.91	Å³/f.u.
space-group type	No. 15

---

Entry from Alexandria via LeMat-Bulk: an optimized crystal structure of Li2SmTlCl6 (PBE).

abc: 6.975 6.974 7.465
angles: 62.15 62.15 60.02
Element x y z (fractional)
Li  0.015  0.015  0.954
Sm  0.318  0.318  0.046
Cl  0.184  0.323  0.754
Tl  0.795  0.795  0.615
Cl  0.603  0.262  0.235
Li  0.521  0.521  0.436
Cl  0.739  0.184  0.753
Cl  0.262  0.900  0.235
Cl  0.323  0.739  0.753
Cl  0.901  0.604  0.234

Results
crystal system	trigonal
V	264.83	Å³/f.u.
space-group type	No. 146

---

Entry from Alexandria via LeMat-Bulk: an optimized crystal structure of Li3Sn2Cl7 (PBE).

abc: 6.963 6.988 12.778
angles: 105.87 90.00 90.00
Element x y z (fractional)
Cl  0.389  0.156  0.151
Sn  0.252  0.626  0.795
Cl  0.889  0.995  0.151
Cl  0.965  0.432  0.000
Li  0.279  0.970  0.576
Cl  0.389  0.005  0.849
Cl  0.644  0.934  0.587
Li  0.279  0.394  0.424
Li  0.772  0.729  0.000
Cl  0.578  0.469  0.692
Sn  0.252  0.830  0.205
Li  0.272  0.271  0.000
Cl  0.078  0.224  0.692
Cl  0.465  0.568  0.000
Cl  0.578  0.776  0.308
Cl  0.078  0.531  0.308
Cl  0.889  0.844  0.849
Sn  0.752  0.374  0.205
Cl  0.144  0.653  0.587
Li  0.779  0.606  0.576
Cl  0.644  0.347  0.413
Cl  0.144  0.066  0.413
Li  0.779  0.030  0.424
Sn  0.752  0.170  0.795

Results
crystal system	orthorhombic
V	299.06	Å³/f.u.
space-group type	No. 36

---

Entry from Alexandria via LeMat-Bulk: an optimized crystal structure of LiSnCl3 (PBE).

abc: 7.368 7.368 7.368
angles: 56.66 56.66 56.66
Element x y z (fractional)
Cl  0.913  0.524  0.341
Li  0.193  0.193  0.193
Sn  0.000  0.000  0.000
Sn  0.500  0.500  0.500
Cl  0.024  0.413  0.841
Cl  0.341  0.913  0.524
Cl  0.524  0.341  0.913
Cl  0.413  0.841  0.024
Cl  0.841  0.024  0.413
Li  0.693  0.693  0.693

Results
energy above the lowest structure with this stoichiometry	0	meV/atom
crystal system	trigonal
V	130.53	Å³/f.u.
space-group type	No. 161

---

Entry from Alexandria via LeMat-Bulk: an optimized crystal structure of Li3Sn6Cl14 (PBE).

abc: 6.676 10.321 10.321
angles: 120.00 90.00 90.00
Element x y z (fractional)
Cl  0.657  0.427  0.230
Cl  0.214  0.567  0.474
Sn  0.299  0.778  0.077
Cl  0.496  0.577  0.804
Cl  0.984  0.333  0.667
Cl  0.214  0.907  0.433
Cl  0.470  0.000  0.000
Li  0.820  0.000  0.000
Cl  0.657  0.803  0.573
Sn  0.794  0.399  0.955
Cl  0.657  0.770  0.197
Cl  0.496  0.228  0.423
Cl  0.496  0.196  0.772
Cl  0.971  0.758  0.848
Sn  0.299  0.923  0.701
Sn  0.794  0.557  0.601
Cl  0.971  0.152  0.910
Sn  0.299  0.299  0.222
Sn  0.794  0.045  0.443
Li  0.434  0.667  0.333
Li  0.343  0.333  0.667
Cl  0.214  0.526  0.093
Cl  0.971  0.090  0.242

Results
crystal system	trigonal
V	615.88	Å³/f.u.
space-group type	No. 143

---

Entry from Alexandria via LeMat-Bulk: an optimized crystal structure of Li2Sn3Cl8 (PBE).

abc: 7.196 8.418 7.866
angles: 122.35 107.61 90.00
Element x y z (fractional)
Cl  0.742  0.863  0.241
Sn  0.500  0.000  0.000
Li  0.387  0.332  0.665
Cl  0.742  0.378  0.241
Cl  0.258  0.622  0.759
Cl  0.258  0.137  0.759
Cl  0.260  0.133  0.267
Sn  0.000  0.736  0.000
Sn  0.000  0.264  0.000
Cl  0.755  0.376  0.752
Li  0.613  0.668  0.335
Cl  0.245  0.624  0.248
Cl  0.740  0.867  0.733

Results
crystal system	monoclinic
V	375.85	Å³/f.u.
space-group type	No. 12

---

Entry from Alexandria via LeMat-Bulk: an optimized crystal structure of LiSn2Cl6 (PBE).

abc: 6.803 6.680 11.353
angles: 90.00 90.07 90.00
Element x y z (fractional)
Cl  0.321  0.799  0.499
Cl  0.674  0.269  0.834
Cl  0.179  0.299  0.001
Cl  0.679  0.201  0.501
Cl  0.826  0.769  0.666
Cl  0.327  0.727  0.833
Li  0.500  0.500  0.000
Cl  0.827  0.773  0.333
Li  0.000  0.000  0.500
Sn  0.000  0.502  0.182
Cl  0.326  0.731  0.166
Cl  0.821  0.701  0.999
Sn  0.500  0.998  0.682
Sn  0.500  0.002  0.318
Cl  0.173  0.227  0.667
Cl  0.174  0.231  0.334
Sn  0.000  0.498  0.818
Cl  0.673  0.273  0.167

Results
crystal system	monoclinic
V	257.96	Å³/f.u.
space-group type	No. 14

---

Entry from Alexandria via LeMat-Bulk: an optimized crystal structure of LiSnCl6 (PBE).

abc: 6.428 6.434 6.794
angles: 61.42 61.63 60.04
Element x y z (fractional)
Cl  0.767  0.077  0.754
Cl  0.077  0.402  0.751
Cl  0.401  0.769  0.752
Li  0.500  0.500  0.500
Sn  0.000  0.000  0.000
Cl  0.233  0.923  0.246
Cl  0.923  0.598  0.249
Cl  0.599  0.231  0.248

Results
crystal system	triclinic
V	203.23	Å³/f.u.
space-group type	No. 2

---

Entry from Alexandria via LeMat-Bulk: an optimized crystal structure of Li3SnCl (PBE).

abc: 4.660 4.660 4.660
angles: 90.00 90.00 90.00
Element x y z (fractional)
Sn  0.500  0.500  0.500
Li  0.000  0.500  0.000
Li  0.000  0.000  0.500
Li  0.500  0.000  0.000
Cl  0.000  0.000  0.000

Results
energy above the lowest structure with this stoichiometry	0	meV/atom
crystal system	cubic
V	101.20	Å³/f.u.
space-group type	No. 221

---

These records have formation energy without anion corrections values of -1.93 -2.08 -0.85 -1.85 -1.82 -1.37 -1.32 -1.11 -1.22 -1.11 -0.87 -0.70 eV per atom, in the order they appear.